A plane-wave DFT calculation with PBE was carried out for Sr2LaMo after structural relaxation.

Geometry as CIF:
```
data_Sr2LaMo
_chemical_formula_sum 'Sr2 La1 Mo1'
_cell_length_a 11.493
_cell_length_b 11.493
_cell_length_c 11.493
_cell_angle_alpha 19.14
_cell_angle_beta 19.14
_cell_angle_gamma 19.14
_space_group_name_H-M_alt 'P 1'
_space_group_IT_number 1
_space_group_name_Hall 'P 1'
loop_
_atom_site_label
_atom_site_type_symbol
_atom_site_fract_x
_atom_site_fract_y
_atom_site_fract_z
_atom_site_occupancy
Sr1 Sr 0.000 0.000 0.000 1
Sr2 Sr 0.225 0.225 0.225 1
La1 La 0.458 0.458 0.458 1
Mo1 Mo 0.736 0.736 0.736 1
```

Results
- DFT formation energy (kJ/mol of formula units) = 244.0
- offset from the most stable computed form (meV per atom) = 111.8
- M_tot (μB/f.u.) = 0.0
- density (Mg/m³) = 4.8



A plane-wave DFT calculation with PBE was carried out for Mn2Ni7Sn2Pt after structural relaxation.

Geometry as CIF:
```
data_Mn2Ni7Sn2Pt
_chemical_formula_sum 'Mn2 Ni7 Sn2 Pt1'
_cell_length_a 3.509
_cell_length_b 3.509
_cell_length_c 14.122
_cell_angle_alpha 97.01
_cell_angle_beta 97.01
_cell_angle_gamma 89.98
_space_group_name_H-M_alt 'P 1'
_space_group_IT_number 1
_space_group_name_Hall 'P 1'
loop_
_atom_site_label
_atom_site_type_symbol
_atom_site_fract_x
_atom_site_fract_y
_atom_site_fract_z
_atom_site_occupancy
Mn1 Mn 0.128 0.128 0.261 1
Mn2 Mn 0.872 0.872 0.739 1
Ni1 Ni 0.000 0.000 0.000 1
Ni2 Ni 0.067 0.567 0.137 1
Ni3 Ni 0.219 0.219 0.450 1
Ni4 Ni 0.433 0.933 0.863 1
Ni5 Ni 0.567 0.067 0.137 1
Ni6 Ni 0.781 0.781 0.550 1
Ni7 Ni 0.933 0.433 0.863 1
Sn1 Sn 0.322 0.322 0.634 1
Sn2 Sn 0.678 0.678 0.366 1
Pt1 Pt 0.500 0.500 0.000 1
```

Results
- DFT formation energy (kJ/mol of formula units) = 109.9
- M_tot (μB/f.u.) = 9.8
- density (Mg/m³) = 9.2



A plane-wave DFT calculation with PBE was carried out for ZrAg3S after structural relaxation.

Geometry as CIF:
```
data_ZrAg3S
_chemical_formula_sum 'Zr1 Ag3 S1'
_cell_length_a 5.301
_cell_length_b 5.301
_cell_length_c 5.301
_cell_angle_alpha 90.00
_cell_angle_beta 90.00
_cell_angle_gamma 90.00
_space_group_name_H-M_alt 'P 1'
_space_group_IT_number 1
_space_group_name_Hall 'P 1'
loop_
_atom_site_label
_atom_site_type_symbol
_atom_site_fract_x
_atom_site_fract_y
_atom_site_fract_z
_atom_site_occupancy
Zr1 Zr 0.000 0.000 0.000 1
Ag1 Ag 0.000 0.000 0.500 1
Ag2 Ag 0.000 0.500 0.000 1
Ag3 Ag 0.500 0.000 0.000 1
S1 S 0.500 0.500 0.500 1
```

Results
- energy relative to the elements, uncorrected (meV per atom) = 1456
- offset from the most stable computed form (meV per atom) = 815.8
- M_tot (μB/f.u.) = 1.1
- density (Mg/m³) = 5.0



A plane-wave DFT calculation with PBE was carried out for BaGaBi after structural relaxation.

Geometry as CIF:
```
data_BaGaBi
_chemical_formula_sum 'Ba1 Ga1 Bi1'
_cell_length_a 6.706
_cell_length_b 6.706
_cell_length_c 6.706
_cell_angle_alpha 145.00
_cell_angle_beta 145.00
_cell_angle_gamma 50.34
_space_group_name_H-M_alt 'P 1'
_space_group_IT_number 1
_space_group_name_Hall 'P 1'
loop_
_atom_site_label
_atom_site_type_symbol
_atom_site_fract_x
_atom_site_fract_y
_atom_site_fract_z
_atom_site_occupancy
Ba1 Ba 0.000 0.000 0.000 1
Ga1 Ga 0.692 0.692 0.000 1
Bi1 Bi 0.295 0.295 0.000 1
```

Results
- DFT formation energy (kJ/mol of formula units) = -118.9
- offset from the most stable computed form (meV per atom) = 191.6
- M_tot (μB/f.u.) = 0.0
- density (Mg/m³) = 7.0



A plane-wave DFT calculation with PBE was carried out for VZnCuSn2 after structural relaxation.

Geometry as CIF:
```
data_VZnCuSn2
_chemical_formula_sum 'V1 Zn1 Cu1 Sn2'
_cell_length_a 5.116
_cell_length_b 5.116
_cell_length_c 4.901
_cell_angle_alpha 90.00
_cell_angle_beta 90.00
_cell_angle_gamma 90.00
_space_group_name_H-M_alt 'P 1'
_space_group_IT_number 1
_space_group_name_Hall 'P 1'
loop_
_atom_site_label
_atom_site_type_symbol
_atom_site_fract_x
_atom_site_fract_y
_atom_site_fract_z
_atom_site_occupancy
V1 V 0.000 0.000 0.000 1
Zn1 Zn 0.000 0.000 0.500 1
Cu1 Cu 0.500 0.500 0.500 1
Sn1 Sn 0.000 0.500 0.000 1
Sn2 Sn 0.500 0.000 0.000 1
```

Results
- DFT formation energy (kJ/mol of formula units) = 366.1
- M_tot (μB/f.u.) = 1.6
- density (Mg/m³) = 5.4



A plane-wave DFT calculation with PBE was carried out for Ca2NbO6F after structural relaxation.

Geometry as CIF:
```
data_Ca2NbO6F
_chemical_formula_sum 'Ca4 Nb2 O12 F2'
_cell_length_a 7.350
_cell_length_b 7.350
_cell_length_c 7.350
_cell_angle_alpha 120.44
_cell_angle_beta 116.85
_cell_angle_gamma 92.39
_space_group_name_H-M_alt 'P 1'
_space_group_IT_number 1
_space_group_name_Hall 'P 1'
loop_
_atom_site_label
_atom_site_type_symbol
_atom_site_fract_x
_atom_site_fract_y
_atom_site_fract_z
_atom_site_occupancy
Ca1 Ca 0.000 0.000 0.000 1
Ca2 Ca 0.500 0.000 0.000 1
Ca3 Ca 0.500 0.000 0.500 1
Ca4 Ca 0.500 0.500 0.500 1
Nb1 Nb 0.000 0.500 0.500 1
Nb2 Nb 0.500 0.500 0.000 1
O1 O 0.093 0.403 0.258 1
O2 O 0.093 0.835 0.690 1
O3 O 0.093 0.843 0.250 1
O4 O 0.316 0.566 0.750 1
O5 O 0.355 0.165 0.758 1
O6 O 0.355 0.597 0.190 1
O7 O 0.645 0.403 0.810 1
O8 O 0.645 0.835 0.242 1
O9 O 0.684 0.434 0.250 1
O10 O 0.907 0.157 0.750 1
O11 O 0.907 0.165 0.310 1
O12 O 0.907 0.597 0.742 1
F1 F 0.376 0.126 0.250 1
F2 F 0.624 0.874 0.750 1
```

Results
- energy relative to the elements, uncorrected (meV per atom) = -1906
- M_tot (μB/f.u.) = 4.0
- density (Mg/m³) = 3.3



A plane-wave DFT calculation with PBE was carried out for Ac4CuGe2 after structural relaxation.

Geometry as CIF:
```
data_Ac4CuGe2
_chemical_formula_sum 'Ac4 Cu1 Ge2'
_cell_length_a 9.399
_cell_length_b 9.399
_cell_length_c 9.399
_cell_angle_alpha 146.72
_cell_angle_beta 146.72
_cell_angle_gamma 47.78
_space_group_name_H-M_alt 'P 1'
_space_group_IT_number 1
_space_group_name_Hall 'P 1'
loop_
_atom_site_label
_atom_site_type_symbol
_atom_site_fract_x
_atom_site_fract_y
_atom_site_fract_z
_atom_site_occupancy
Ac1 Ac 0.000 0.500 0.500 1
Ac2 Ac 0.187 0.187 0.000 1
Ac3 Ac 0.500 0.000 0.500 1
Ac4 Ac 0.813 0.813 0.000 1
Cu1 Cu 0.000 0.000 0.000 1
Ge1 Ge 0.370 0.370 0.000 1
Ge2 Ge 0.630 0.630 0.000 1
```

Results
- DFT formation energy (kJ/mol of formula units) = -124.5
- offset from the most stable computed form (meV per atom) = 258.3
- M_tot (μB/f.u.) = 0.0
- density (Mg/m³) = 7.4



A plane-wave DFT calculation with PBE was carried out for PmNi2P2 after structural relaxation.

Geometry as CIF:
```
data_PmNi2P2
_chemical_formula_sum 'Pm1 Ni2 P2'
_cell_length_a 5.496
_cell_length_b 5.496
_cell_length_c 3.942
_cell_angle_alpha 110.94
_cell_angle_beta 110.94
_cell_angle_gamma 42.03
_space_group_name_H-M_alt 'P 1'
_space_group_IT_number 1
_space_group_name_Hall 'P 1'
loop_
_atom_site_label
_atom_site_type_symbol
_atom_site_fract_x
_atom_site_fract_y
_atom_site_fract_z
_atom_site_occupancy
Pm1 Pm 0.000 0.000 0.000 1
Ni1 Ni 0.250 0.250 0.751 1
Ni2 Ni 0.750 0.750 0.249 1
P1 P 0.373 0.373 0.374 1
P2 P 0.627 0.627 0.626 1
```

Results
- DFT formation energy (kJ/mol of formula units) = -483.2
- M_tot (μB/f.u.) = 0.0
- density (Mg/m³) = 7.3



A plane-wave DFT calculation with PBE was carried out for SrPm5Te8 after structural relaxation.

Geometry as CIF:
```
data_SrPm5Te8
_chemical_formula_sum 'Sr1 Pm5 Te8'
_cell_length_a 9.354
_cell_length_b 9.354
_cell_length_c 9.354
_cell_angle_alpha 60.00
_cell_angle_beta 60.00
_cell_angle_gamma 60.00
_space_group_name_H-M_alt 'P 1'
_space_group_IT_number 1
_space_group_name_Hall 'P 1'
loop_
_atom_site_label
_atom_site_type_symbol
_atom_site_fract_x
_atom_site_fract_y
_atom_site_fract_z
_atom_site_occupancy
Sr1 Sr 0.000 0.000 0.000 1
Pm1 Pm 0.373 0.373 0.373 1
Pm2 Pm 0.373 0.373 0.880 1
Pm3 Pm 0.373 0.880 0.373 1
Pm4 Pm 0.750 0.750 0.750 1
Pm5 Pm 0.880 0.373 0.373 1
Te1 Te 0.137 0.137 0.137 1
Te2 Te 0.137 0.137 0.589 1
Te3 Te 0.137 0.589 0.137 1
Te4 Te 0.148 0.617 0.617 1
Te5 Te 0.589 0.137 0.137 1
Te6 Te 0.617 0.148 0.617 1
Te7 Te 0.617 0.617 0.148 1
Te8 Te 0.617 0.617 0.617 1
```

Results
- energy relative to the elements, uncorrected (meV per atom) = -1355
- M_tot (μB/f.u.) = 0.0
- density (Mg/m³) = 5.3



A plane-wave DFT calculation with PBE was carried out for Er5Zn4Rh after structural relaxation.

Geometry as CIF:
```
data_Er5Zn4Rh
_chemical_formula_sum 'Er5 Zn4 Rh1'
_cell_length_a 3.514
_cell_length_b 3.514
_cell_length_c 17.498
_cell_angle_alpha 90.00
_cell_angle_beta 90.00
_cell_angle_gamma 90.00
_space_group_name_H-M_alt 'P 1'
_space_group_IT_number 1
_space_group_name_Hall 'P 1'
loop_
_atom_site_label
_atom_site_type_symbol
_atom_site_fract_x
_atom_site_fract_y
_atom_site_fract_z
_atom_site_occupancy
Er1 Er 0.000 0.000 0.000 1
Er2 Er 0.000 0.000 0.203 1
Er3 Er 0.000 0.000 0.408 1
Er4 Er 0.000 0.000 0.592 1
Er5 Er 0.000 0.000 0.797 1
Zn1 Zn 0.500 0.500 0.102 1
Zn2 Zn 0.500 0.500 0.302 1
Zn3 Zn 0.500 0.500 0.698 1
Zn4 Zn 0.500 0.500 0.898 1
Rh1 Rh 0.500 0.500 0.500 1
```

Results
- DFT formation energy (kJ/mol of formula units) = -457.7
- M_tot (μB/f.u.) = 0.0
- density (Mg/m³) = 9.2



A plane-wave DFT calculation with PBE was carried out for EuThHgPt after structural relaxation.

Geometry as CIF:
```
data_EuThHgPt
_chemical_formula_sum 'Eu1 Th1 Hg1 Pt1'
_cell_length_a 5.258
_cell_length_b 5.258
_cell_length_c 5.258
_cell_angle_alpha 60.00
_cell_angle_beta 60.00
_cell_angle_gamma 60.00
_space_group_name_H-M_alt 'P 1'
_space_group_IT_number 1
_space_group_name_Hall 'P 1'
loop_
_atom_site_label
_atom_site_type_symbol
_atom_site_fract_x
_atom_site_fract_y
_atom_site_fract_z
_atom_site_occupancy
Eu1 Eu 0.000 0.000 0.000 1
Th1 Th 0.500 0.500 0.500 1
Hg1 Hg 0.250 0.250 0.250 1
Pt1 Pt 0.750 0.750 0.750 1
```

Results
- DFT formation energy (kJ/mol of formula units) = -232.5
- M_tot (μB/f.u.) = 7.2
- density (Mg/m³) = 12.6



A plane-wave DFT calculation with PBE was carried out for CdCuCl after structural relaxation.

Geometry as CIF:
```
data_CdCuCl
_chemical_formula_sum 'Cd1 Cu1 Cl1'
_cell_length_a 6.720
_cell_length_b 6.254
_cell_length_c 3.479
_cell_angle_alpha 82.00
_cell_angle_beta 67.15
_cell_angle_gamma 30.84
_space_group_name_H-M_alt 'P 1'
_space_group_IT_number 1
_space_group_name_Hall 'P 1'
loop_
_atom_site_label
_atom_site_type_symbol
_atom_site_fract_x
_atom_site_fract_y
_atom_site_fract_z
_atom_site_occupancy
Cd1 Cd 0.000 0.000 0.000 1
Cu1 Cu 0.339 0.339 0.661 1
Cl1 Cl 0.707 0.707 0.293 1
```

Results
- energy relative to the elements, uncorrected (meV per atom) = -134
- offset from the most stable computed form (meV per atom) = 144.3
- M_tot (μB/f.u.) = 0.0
- density (Mg/m³) = 5.6